A geometry-optimized FeSi2Os structure, computed with PBE.

Properties
DFT total energy ... -7.613 eV per atom

a b c (Å): 2.8887 4.6542 3.8134
angles (deg): 90.00 90.00 90.00
With the nearest neighbours (Å) after each atom.
Sites, in units of the cell vectors:
Fe  0.5000  0.0000  0.5000  4 Si 2.39
Os  0.0000  0.5000  0.5000  4 Si 2.39
Si  0.0000  0.0000  0.0000  4 Fe 2.39
Si  0.5000  0.5000  0.0000  4 Os 2.39

A geometry-optimized LiTl4Cd structure, computed with PBE.

Properties
Energy of formation ... 31 meV/atom

a b c (Å): 4.9506 4.9733 8.6025
angles (deg): 72.29 73.28 60.15
With the nearest neighbours (Å) after each atom.
Sites, in units of the cell vectors:
Li  0.0000  0.0000  0.0000  8 Tl 2.83-2.98
Tl  0.6357  0.6302  0.0985  3 Li 2.97-2.98, 1 Cd 3.25, 3 Tl 3.28-3.29
Tl  0.3643  0.3698  0.9015  3 Li 2.97-2.98, 1 Cd 3.25, 3 Tl 3.28-3.29
Tl  0.1197  0.1109  0.6497  1 Li 2.83, 3 Cd 3.11-3.12
Tl  0.8803  0.8891  0.3503  1 Li 2.83, 3 Cd 3.11-3.12
Cd  0.5000  0.5000  0.5000  8 Tl 3.11-3.25